Below is an optimized crystal structure of K2Rb3ReO6, with properties calculated at the PBE-GGA level.

The structure in POSCAR format:
```
K2Rb3ReO6
1.0
-5.651 -2.713 1.814
5.525 -1.910 2.899
-0.655 5.640 2.574
K O Rb Re
2 6 3 1
Cartesian
-4.185 0.236 3.275
3.404 0.781 4.012
-0.228 -2.738 4.376
-1.500 0.152 1.203
1.205 0.346 1.465
-1.985 0.671 5.822
0.719 0.865 6.084
-0.553 3.755 2.911
-1.925 -2.445 2.176
1.799 -2.178 2.537
-0.390 0.508 3.644
0.000 0.000 0.000
```

The total magnetization comes out at 0.0 μB/f.u. For the total DFT energy (no corrections), the calculation gives -5.531 eV/atom. The offset from the most stable computed form is 0.005 eV per atom.